Ac2Be2CoO6 (GGA+U, relaxed); total DFT energy (no corrections) = -7.01 eV/atom; density = 6.6 g/cm³
1.0
5.524 0.000 0.000
-2.762 4.784 0.000
0.000 0.000 5.954
Ac Be Co O
2 2 1 6
direct
0.333 0.667 0.232
0.667 0.333 0.768
0.333 0.667 0.771
0.667 0.333 0.229
0.000 0.000 0.000
0.119 0.358 0.794
0.239 0.881 0.794
0.358 0.239 0.206
0.642 0.761 0.794
0.761 0.119 0.206
0.881 0.642 0.206